Entry 1:
Ho3Be2Ge4: optimized geometry, GGA-PBE.

Structure (extended XYZ):
```
9
Lattice="5.387 -1.997 0.000 5.387 1.997 0.000 -2.684 0.000 7.746" Properties=species:S:1:pos:R:3 pbc="T T T"
Ho 0.000 0.000 0.000
Ho 3.257 0.000 2.411
Ho 4.834 0.000 5.335
Be 1.590 0.000 4.988
Be 6.501 0.000 2.758
Ge 0.023 0.000 3.045
Ge 0.615 0.000 7.170
Ge 7.475 0.000 0.576
Ge 8.068 0.000 4.701
```

Values from the calculation:
E_form	-55.6	kJ/mol of atoms
calculated volume	166.6	Å³/cell
SG	C2/m

---

Entry 2:
Pr2Zn7Ga: optimized geometry, GGA-PBE.

Structure (extended XYZ):
```
10
Lattice="4.324 0.000 0.000 0.000 4.324 0.000 0.000 0.000 10.372" Properties=species:S:1:pos:R:3 pbc="T T T"
Pr 0.000 2.162 2.577
Pr 2.162 0.000 7.795
Zn 0.000 0.000 0.000
Zn 0.000 2.162 6.579
Zn 0.000 2.162 9.030
Zn 2.162 0.000 1.342
Zn 2.162 0.000 3.793
Zn 2.162 2.162 0.000
Zn 2.162 2.162 5.186
Ga 0.000 0.000 5.186
```

Values from the calculation:
E_form	-34.0	kJ/mol of atoms
calculated volume	193.9	Å³/cell
SG	P-4m2

---

Entry 3:
HfTe2I4: optimized geometry, GGA-PBE.

Structure (extended XYZ):
```
7
Lattice="11.179 -2.077 0.000 11.179 2.077 0.000 -1.726 0.000 6.954" Properties=species:S:1:pos:R:3 pbc="T T T"
Hf 0.000 0.000 0.000
Te 4.350 0.000 2.630
Te 16.282 0.000 4.323
I 0.876 0.000 5.990
I 8.742 0.000 5.023
I 11.889 0.000 1.930
I 19.755 0.000 0.963
```

Values from the calculation:
ΔE_f (raw)	-0.4908	eV per atom
calculated volume	322.9	Å³/cell
SG	C2/m